# AgAsW2 | Alexandria via LeMat-Bulk | GGA-PBE | relaxed
# - Energy of formation from the pure elements: 607 meV per atom
# - VASP energy: -61.95 eV per cell
# - Magnetization: 0.000 μB per atom
data_AgAsW2
_chemical_formula_sum 'Ag2 As2 W4'
_space_group_name_H-M_alt 'I m m 2'
_space_group_IT_number 44
_space_group_name_Hall 'I 2 -2'
_cell_length_a 3.2325
_cell_length_b 4.5592
_cell_length_c 8.8992
_cell_angle_alpha 90.00
_cell_angle_beta 90.00
_cell_angle_gamma 90.00
loop_
_atom_site_label
_atom_site_type_symbol
_atom_site_fract_x
_atom_site_fract_y
_atom_site_fract_z
Ag1 Ag 0.0000 0.0000 0.0000
As1 As 0.0000 0.5000 0.7515
W1 W 0.0000 0.0000 0.4828
W2 W 0.0000 0.5000 0.2234